# 1
Material: ZrW2C
Method: DFT, PBE-GGA
State: relaxed

Calculated values
Uncorrected energy ... -0.7803 Ry per atom
Formation enthalpy at 0 K ... 1.21 eV/f.u.
Size of the total moment ... 0.0 μB/f.u.

Unit cell a=2.752 b=4.611 c=9.280 alpha=90.00 beta=90.00 gamma=90.00
Space group Immm (No. 71)
One atom of each set of equivalent atoms:
Zr1 0.000 0.000 0.000 x2
W1 0.000 0.500 0.184 x4
C1 0.000 0.000 0.500 x2

# 2
Material: C23Xe4
Method: DFT, PBE-GGA
State: relaxed

Calculated values
Uncorrected energy ... -0.4066 Ry per atom
Formation enthalpy at 0 K ... 62.90 eV/f.u.
Size of the total moment ... 0.0 μB/f.u.

Unit cell a=7.737 b=7.737 c=7.737 alpha=90.00 beta=90.00 gamma=90.00
Space group Pm-3n (No. 223)
One atom of each set of equivalent atoms:
C1 0.000 0.149 0.298 x24
C2 0.000 0.250 0.500 x6
C3 0.190 0.190 0.190 x16
Xe1 0.000 0.000 0.000 x2
Xe2 0.000 0.500 0.250 x6

# 3
Material: YC2
Method: DFT, PBE-GGA
State: relaxed

Calculated values
Uncorrected energy ... -0.5511 Ry per atom
Formation enthalpy at 0 K ... 2.42 eV/f.u.
Energy above the lowest structure with this stoichiometry ... 988.7 meV/atom
Size of the total moment ... 0.0 μB/f.u.

Unit cell a=3.213 b=15.016 c=2.894 alpha=90.00 beta=90.00 gamma=90.00
Space group Cmcm (No. 63)
One atom of each set of equivalent atoms:
Y1 0.000 0.116 0.250 x4
C1 0.000 0.259 0.750 x4
C2 0.000 0.475 0.250 x4

# 4
Material: YC2
Method: DFT, PBE-GGA
State: relaxed

Calculated values
Uncorrected energy ... -0.6047 Ry per atom
Formation enthalpy at 0 K ... 0.23 eV/f.u.
Energy above the lowest structure with this stoichiometry ... 259.7 meV/atom
Size of the total moment ... 0.0 μB/f.u.

Unit cell a=3.6135 b=3.6135 c=8.3363 alpha=90.00 beta=90.00 gamma=120.00
Space group P6_3/mmc (No. 194)
One atom of each set of equivalent atoms:
Y1 0.0000 0.0000 0.0000 x2
C1 0.3333 0.6667 0.1724 x4

# 5
Material: Y5C
Method: DFT, PBE-GGA
State: relaxed

Calculated values
Uncorrected energy ... -0.4745 Ry per atom
Formation enthalpy at 0 K ... 2.81 eV/f.u.
Energy above the lowest structure with this stoichiometry ... 404.4 meV/atom
Size of the total moment ... 0.0 μB/f.u.

Unit cell a=5.003 b=4.000 c=17.783 alpha=90.00 beta=90.00 gamma=90.00
Space group Amm2 (No. 38)
One atom of each set of equivalent atoms:
Y1 0.000 0.000 0.000 x2
Y2 0.000 0.000 0.322 x2
Y3 0.000 0.000 0.647 x2
Y4 0.500 0.000 0.467 x2
Y5 0.500 0.000 0.792 x2
C1 0.500 0.000 0.036 x2

# 6
Material: YC2
Method: DFT, PBE-GGA
State: relaxed

Calculated values
Uncorrected energy ... -0.6023 Ry per atom
Formation enthalpy at 0 K ... 0.33 eV/f.u.
Energy above the lowest structure with this stoichiometry ... 292.6 meV/atom
Size of the total moment ... 0.0 μB/f.u.

Unit cell a=5.666 b=5.666 c=5.666 alpha=90.00 beta=90.00 gamma=90.00
Space group Pa-3 (No. 205)
One atom of each set of equivalent atoms:
Y1 0.000 0.000 0.000 x4
C1 0.066 0.566 0.934 x8

> Which value of size of the total moment does entry 3 give?

0.0 μB/f.u.

> What is the formula in the second record?

C23Xe4

What did the third record say?
Material: YC2
Method: DFT, PBE-GGA
State: relaxed

Calculated values
Uncorrected energy ... -0.5511 Ry per atom
Formation enthalpy at 0 K ... 2.42 eV/f.u.
Energy above the lowest structure with this stoichiometry ... 988.7 meV/atom
Size of the total moment ... 0.0 μB/f.u.

Unit cell a=3.213 b=15.016 c=2.894 alpha=90.00 beta=90.00 gamma=90.00
Space group Cmcm (No. 63)
One atom of each set of equivalent atoms:
Y1 0.000 0.116 0.250 x4
C1 0.000 0.259 0.750 x4
C2 0.000 0.475 0.250 x4

> uncorrected energy of number 6 (YC2)?

-0.6023 Ry per atom